A plane-wave DFT calculation with meta-GGA SCAN was carried out for ErNiSb at its PBEsol-relaxed geometry.

Properties
As for the volume: 20.036 Å³/atom. The calculation puts the formation energy without anion corrections at -1.024 eV per atom. As for the final energy: -106.8 eV for the cell shown. The symmetry is No. 216. Its crystal system is cubic.

Structure (POSCAR):
```
ErNiSb
1.0
4.3969 0.0000 0.0000
2.1984 3.8078 0.0000
2.1984 1.2693 3.5900
Sb Er Ni
1 1 1
direct
0.0000 0.0000 0.0000
0.5000 0.5000 0.5000
0.7500 0.7500 0.7500
```